# 1
The following is a DFT calculation (PBE-GGA) of a relaxed Pm5Dy6Y crystal.

Summary:
Its space-group type is Immm (71). The formation energy from the elements is 0.018 eV per atom.

Lattice parameters (Å, degrees): 9.501 9.501 9.501 148.97 115.58 73.22
Fractional positions:
Pm1 0.000 0.000 0.000
Pm2 0.167 0.667 0.500
Pm3 0.334 0.334 0.000
Pm4 0.666 0.666 0.000
Pm5 0.833 0.333 0.500
Dy1 0.084 0.833 0.250
Dy2 0.250 0.500 0.750
Dy3 0.417 0.167 0.250
Dy4 0.583 0.833 0.750
Dy5 0.750 0.500 0.250
Dy6 0.916 0.167 0.750
Y1 0.500 0.000 0.500

***

# 2
The following is a DFT calculation (PBE-GGA) of a relaxed RbSrB3 crystal.

Summary:
Its space-group type is Pm-3m (221). As for the energy above the lowest structure with this stoichiometry: 270 meV per atom. The formation energy from the elements is 2.609 eV per atom.

Lattice parameters (Å, degrees): 4.999 4.999 4.999 90.00 90.00 90.00
Fractional positions:
Rb1 0.000 0.000 0.000
Sr1 0.500 0.500 0.500
B1 0.000 0.000 0.500
B2 0.000 0.500 0.000
B3 0.500 0.000 0.000

***

# 3
The following is a DFT calculation (PBE-GGA) of a relaxed Hg2PI2 crystal.

Summary:
Its space-group type is P-1 (2). For the total DFT energy (no corrections), the calculation gives -1.96 eV/atom.

Lattice parameters (Å, degrees): 7.501 7.684 7.698 77.51 68.61 61.29
Fractional positions:
Hg1 0.072 0.194 0.138
Hg2 0.327 0.671 0.287
Hg3 0.673 0.329 0.713
Hg4 0.928 0.806 0.862
P1 0.159 0.998 0.421
P2 0.841 0.002 0.579
I1 0.136 0.325 0.765
I2 0.442 0.725 0.785
I3 0.558 0.275 0.215
I4 0.864 0.675 0.235

***

# 4
The following is a DFT calculation (PBE-GGA) of a relaxed La2FeSe crystal.

Summary:
Its space-group type is R3m (160). For the total DFT energy (no corrections), the calculation gives -6.01 eV/atom.

Lattice parameters (Å, degrees): 7.782 7.782 7.782 30.85 30.85 30.85
Fractional positions:
La1 0.000 0.000 0.000
La2 0.169 0.169 0.169
Fe1 0.742 0.742 0.742
Se1 0.421 0.421 0.421

***

# 5
The following is a DFT calculation (PBE-GGA) of a relaxed YZrPb2 crystal.

Summary:
Its space-group type is I-42d (122). The formation energy from the elements is -0.121 eV per atom.

Lattice parameters (Å, degrees): 6.701 6.701 6.701 104.19 104.19 120.65
Fractional positions:
Y1 0.000 0.000 0.000
Y2 0.750 0.250 0.500
Zr1 0.250 0.750 0.500
Zr2 0.500 0.500 0.000
Pb1 0.137 0.625 0.012
Pb2 0.375 0.387 0.512
Pb3 0.613 0.125 0.988
Pb4 0.875 0.863 0.488

***

# 6
The following is a DFT calculation (PBE-GGA) of a relaxed Ag4BS4 crystal.

Summary:
Its space-group type is I-42m (121). For the total DFT energy (no corrections), the calculation gives -3.85 eV/atom.

Lattice parameters (Å, degrees): 6.455 6.455 6.455 124.20 124.20 82.87
Fractional positions:
Ag1 0.000 0.500 0.500
Ag2 0.144 0.144 0.000
Ag3 0.500 0.000 0.500
Ag4 0.856 0.856 0.000
B1 0.500 0.500 0.000
S1 0.195 0.545 0.000
S2 0.455 0.455 0.650
S3 0.545 0.195 0.000
S4 0.805 0.805 0.350

***

no.,N(E_F) (states/eV per cell)
1,16.83
2,6.06
3,0.00
4,4.42
5,5.79
6,4.78